Material: ScInW2
Method: DFT, PBE
State: relaxed

POSCAR file:
```
ScInW2
1.0
9.3426 -0.0064 -0.0038
8.8211 3.0778 -0.0038
8.8211 1.4916 2.6922
In Sc W
1 1 2
direct
0.5038 0.5038 0.5038
0.7427 0.7427 0.7427
0.9940 0.9940 0.9940
0.2594 0.2594 0.2594
```

Output
Formation energy (eV/atom): 0.28

Material: SrP5
Method: DFT, PBE
State: relaxed

POSCAR file:
```
SrP5
1.0
1.6844 4.8191 0.7918
-1.6844 4.8191 0.7918
0.0000 1.5997 8.0135
Sr P
1 5
direct
0.2846 0.2846 0.8880
0.9506 0.9506 0.0788
0.3761 0.3761 0.4907
0.6892 0.6892 0.5856
0.5208 0.5208 0.2054
0.0120 0.0120 0.5848
```

Output
Formation energy (eV/atom): -0.15

Material: AcLaSb2
Method: DFT, PBE
State: relaxed

POSCAR file:
```
AcLaSb2
1.0
4.6560 0.0000 0.0000
0.0000 8.1779 0.0000
0.0000 0.0000 8.0626
Ac La Sb
2 2 4
direct
0.0000 0.5000 0.0000
0.5000 0.0000 0.5000
0.5000 0.5000 0.5000
0.0000 0.0000 0.0000
0.0000 0.2551 0.3348
0.0000 0.7449 0.6652
0.5000 0.2449 0.8348
0.5000 0.7551 0.1652
```

Output
E above lowest polymorph (eV per formula unit): 0.60
Formation energy without anion corrections (eV/atom): -1.09

Material: Tb2BeC
Method: DFT, PBE
State: relaxed

POSCAR file:
```
Tb2BeC
1.0
-1.4352 0.7412 3.0433
-6.3641 0.4664 -3.1149
1.3168 -6.8070 0.3285
Tb Be C
4 2 2
direct
0.1308 0.5653 0.2616
0.8692 0.4347 0.7384
0.1307 0.0653 0.2616
0.8693 0.9347 0.7384
0.5001 0.2500 0.0000
0.4999 0.7500 0.0000
0.9999 0.7500 0.0000
0.0001 0.2500 0.0000
```

Output
Formation energy (eV/atom): -0.19

Material: K2InBi2
Method: DFT, PBE
State: relaxed

POSCAR file:
```
K2InBi2
1.0
-10.3795 -2.2882 -0.9590
1.0919 -7.9169 7.0725
-0.7015 2.1350 2.4981
K Bi In
4 4 2
direct
0.3787 0.8787 0.0000
0.8787 0.6213 0.0000
0.6213 0.1213 0.0000
0.1213 0.3787 0.0000
0.1771 0.6771 0.5000
0.6771 0.8229 0.5000
0.8229 0.3229 0.5000
0.3229 0.1771 0.5000
0.0000 0.0000 0.0000
0.5000 0.5000 0.0000
```

Output
Formation energy (eV/atom): -0.03
E above lowest polymorph (eV per formula unit): 1.38

Material: Al2InHIr
Method: DFT, PBE
State: relaxed

POSCAR file:
```
Al2InHIr
1.0
4.9060 0.0000 0.0000
0.0000 3.6183 0.0000
0.0000 0.0000 4.9060
H Ir Al In
1 1 2 1
direct
0.0000 0.5000 0.0000
0.0000 0.0000 0.0000
0.0000 0.0000 0.5000
0.5000 0.0000 0.0000
0.5000 0.5000 0.5000
```

Output
Total DFT energy (no corrections) (eV/atom): -4.418

Material: Li2As3Pd4
Method: DFT, PBE
State: relaxed

POSCAR file:
```
Li2As3Pd4
1.0
-5.9114 0.0132 -0.1810
0.2127 -1.0671 -7.0241
2.9059 -7.2465 1.1888
Li As Pd
4 6 8
direct
0.0964 0.6036 0.1928
0.9036 0.3964 0.8072
0.4036 0.1036 0.8072
0.5964 0.8964 0.1928
0.0000 0.0000 0.0000
0.5000 0.5000 0.0000
0.5067 0.7500 0.5134
0.9933 0.2500 0.4866
0.4933 0.2500 0.4866
0.0067 0.7500 0.5134
0.6827 0.7500 0.8653
0.8173 0.2500 0.1347
0.3173 0.2500 0.1347
0.1827 0.7500 0.8653
0.1732 0.9842 0.3464
0.8268 0.0158 0.6536
0.3268 0.4842 0.6536
0.6732 0.5158 0.3464
```

Output
Formation energy (eV/atom): -0.46

Material: CaGa2Cu
Method: DFT, PBE
State: relaxed

POSCAR file:
```
CaGa2Cu
1.0
4.6774 0.0000 0.0000
0.0000 4.6774 0.0000
2.3387 2.3387 8.5074
Ca Cu Ga
2 2 4
direct
0.5000 0.5000 0.0000
0.2500 0.7500 0.5000
0.0000 0.0000 0.0000
0.7500 0.2500 0.5000
0.7912 0.1250 0.2500
0.9588 0.6250 0.2500
0.3750 0.2088 0.7500
0.8750 0.0412 0.7500
```

Output
Formation energy (eV/atom): -0.13

Material: NaAl12Ag7
Method: DFT, PBE
State: relaxed

POSCAR file:
```
NaAl12Ag7
1.0
-1.2894 -7.3688 3.6968
8.2004 1.2903 -0.8459
-3.3036 6.0723 4.6734
Na Al Ag
1 12 7
direct
0.0000 0.0000 0.0000
0.3572 0.2600 0.6171
0.3572 0.7400 0.0972
0.6428 0.7400 0.3829
0.6428 0.2600 0.9028
0.6171 0.3572 0.2600
0.9028 0.6428 0.2600
0.3829 0.6428 0.7400
0.0972 0.3572 0.7400
0.7400 0.0972 0.3572
0.2600 0.9028 0.6428
0.2600 0.6171 0.3572
0.7400 0.3829 0.6428
0.5000 0.0000 0.5000
0.5000 0.5000 0.0000
0.0000 0.5000 0.5000
0.0000 0.0000 0.5000
0.5000 0.0000 0.0000
0.5000 0.5000 0.5000
0.0000 0.5000 0.0000
```

Output
Formation energy (eV/atom): 0.12

Material: LiHoRh2
Method: DFT, PBE
State: relaxed

POSCAR file:
```
LiHoRh2
1.0
-2.5258 -2.5757 1.0618
2.5528 -3.0428 -1.3086
1.7555 -0.1581 3.7923
Rh Ho Li
2 1 1
direct
0.0000 0.0000 0.5000
0.0000 0.5000 0.0000
0.5000 0.0000 0.0000
0.5000 0.5000 0.5000
```

Output
Formation energy (eV/atom): -0.50

Material: Pr2LuZr
Method: DFT, PBE
State: relaxed

POSCAR file:
```
Pr2LuZr
1.0
5.5463 0.0000 0.0000
2.7731 4.8032 0.0000
2.7731 1.6011 4.5285
Pr Lu Zr
2 1 1
direct
0.2500 0.2500 0.2500
0.7500 0.7500 0.7500
0.5000 0.5000 0.5000
0.0000 0.0000 0.0000
```

Output
Formation energy (eV/atom): 0.20
E above lowest polymorph (eV per formula unit): 0.13

Material: In3H4I4
Method: DFT, PBE
State: relaxed

POSCAR file:
```
In3H4I4
1.0
-1.1238 0.4493 4.2202
12.1503 4.6319 4.9872
2.8637 6.7076 2.3052
In H I
3 4 4
direct
0.8313 0.9843 0.3510
0.1687 0.0157 0.6490
0.0000 0.5000 0.5000
0.7009 0.0309 0.5683
0.4176 0.2637 0.8990
0.2991 0.9691 0.4317
0.5824 0.7363 0.1010
0.6978 0.6719 0.9346
0.3022 0.3281 0.0654
0.4616 0.7693 0.3087
0.5384 0.2307 0.6913
```

Output
Total DFT energy (no corrections) (eV/atom): -2.519

Material: KAcAs2
Method: DFT, PBE
State: relaxed

POSCAR file:
```
KAcAs2
1.0
-0.4272 5.4321 -0.4752
-0.2128 2.3034 -4.9564
-4.6656 2.2310 -1.7809
K Ac As
1 1 2
direct
0.5000 0.5000 0.5000
0.0000 0.0000 0.0000
0.2500 0.2500 0.2500
0.7500 0.7500 0.7500
```

Output
Formation energy (eV/atom): -0.57
E above lowest polymorph (eV per formula unit): 0.93

Material: ScZn3Ru
Method: DFT, PBE
State: relaxed

POSCAR file:
```
ScZn3Ru
1.0
4.6916 0.0000 0.0000
0.0000 4.6916 0.0000
0.0000 0.0000 4.6916
Sc Ru Zn
1 1 3
direct
0.5000 0.5000 0.5000
0.0000 0.0000 0.0000
0.0000 0.5000 0.0000
0.0000 0.0000 0.5000
0.5000 0.0000 0.0000
```

Output
Formation energy (eV/atom): 0.26
E above lowest polymorph (eV per formula unit): 0.00

Material: Ti3HgI
Method: DFT, PBE
State: relaxed

POSCAR file:
```
Ti3HgI
1.0
-1.4716 -3.1371 3.8454
1.9970 -4.0462 -2.5366
4.5432 0.7624 2.3606
I Hg Ti
1 1 3
direct
0.5000 0.5000 0.5000
0.0000 0.0000 0.0000
0.0000 0.5000 0.0000
0.0000 0.0000 0.5000
0.5000 0.0000 0.0000
```

Output
E above lowest polymorph (eV per formula unit): 0.18
Formation energy without anion corrections (eV/atom): 0.97

Material: CeNdZnHg
Method: DFT, PBE
State: relaxed

POSCAR file:
```
CeNdZnHg
1.0
3.7206 0.0000 0.0000
0.0000 3.7206 0.0000
0.0000 0.0000 7.5946
Ce Nd Zn Hg
1 1 1 1
direct
0.5000 0.5000 0.1246
0.5000 0.5000 0.5899
0.0000 0.0000 0.3562
0.0000 0.0000 0.8574
```

Output
Formation energy (eV/atom): -0.31
E above lowest polymorph (eV per formula unit): 0.00

Material: BaLi3Br
Method: DFT, PBE
State: relaxed

POSCAR file:
```
BaLi3Br
1.0
-2.3161 0.1356 -6.3324
0.6248 -6.7047 -0.3721
-6.3030 -0.7145 2.2900
Ba Br Li
1 1 3
direct
0.0000 0.0000 0.0000
0.5000 0.5000 0.5000
0.0000 0.5000 0.0000
0.0000 0.0000 0.5000
0.5000 0.0000 0.0000
```

Output
E above lowest polymorph (eV per formula unit): 4.44
Formation energy without anion corrections (eV/atom): 0.60

Material: PmZn2SiAu2
Method: DFT, PBE
State: relaxed

POSCAR file:
```
PmZn2SiAu2
1.0
4.6397 0.0000 0.0000
0.0000 4.6397 0.0000
0.0000 0.0000 5.7871
Pm Zn Si Au
1 2 1 2
direct
0.0000 0.0000 0.5000
0.5000 0.0000 0.0000
0.0000 0.5000 0.0000
0.0000 0.0000 0.0000
0.5000 0.5000 0.7334
0.5000 0.5000 0.2666
```

Output
Formation energy without anion corrections (eV/atom): -0.15

Material: BaRh2W2
Method: DFT, PBE
State: relaxed

POSCAR file:
```
BaRh2W2
1.0
4.5059 0.0000 0.0000
0.0000 4.5059 0.0000
2.2529 2.2529 5.4820
Rh Ba W
2 1 2
direct
0.3551 0.3551 0.2899
0.6449 0.6449 0.7101
0.0000 0.0000 0.0000
0.7500 0.2500 0.5000
0.2500 0.7500 0.5000
```

Output
Formation energy (eV/atom): 0.34
E above lowest polymorph (eV per formula unit): 0.00

Material: Sr3Ac2Pd2
Method: DFT, PBE
State: relaxed

POSCAR file:
```
Sr3Ac2Pd2
1.0
-3.9868 -1.2166 0.7192
0.6433 0.9569 -7.2546
5.1882 -8.1089 2.6051
Sr Ac Pd
3 2 2
direct
0.5000 0.0000 0.0000
0.2038 0.8244 0.5832
0.7962 0.1756 0.4168
0.6452 0.4707 0.8197
0.3548 0.5293 0.1803
0.0002 0.8238 0.1765
0.9998 0.1762 0.8235
```

Output
Formation energy (eV/atom): -0.41